{
  "formula": "BC",
  "functional": "PBE",
  "state": "relaxed",
  "de_polymorph_ev_per_atom": 0.000,
  "rho_g_cm3": 2.174,
  "magnetic_moment_mub_per_cell": 0.000,
  "cell": [[2.719, 0.000, 0.000], [0.000, 4.506, 0.000], [0.000, 0.000, 8.537]],
  "species": ["C", "C", "C", "B", "B", "C", "B", "B", "C", "C", "B", "B"],
  "fractional_positions": [[0.000, 0.037, 0.533], [0.000, 0.369, 0.896], [0.000, 0.161, 0.030], [0.000, 0.553, 0.070], [0.500, 0.428, 0.811], [0.500, 0.661, 0.136], [0.000, 0.702, 0.599], [0.500, 0.202, 0.568], [0.500, 0.537, 0.633], [0.500, 0.869, 0.271], [0.500, 0.053, 0.097], [0.000, 0.928, 0.355]]
}